# 1
Computed, not measured: crystalline InHg2Os at its relaxed geometry at the PBE-GGA level of DFT.

Properties
Crystal system ... tetragonal
Size of the total moment ... 0.000 μB per atom
ΔE_f ... 0.570 eV per atom

a b c (Å): 3.0981 3.0981 8.7240
angles (deg): 90.00 90.00 90.00
Space group P4mm (No. 99)
Unique sites:
In1 0.0000 0.0000 0.0000
Hg1 0.0000 0.0000 0.4135
Hg2 0.5000 0.5000 0.7047
Os1 0.5000 0.5000 0.1950

=====

# 2
Computed, not measured: crystalline InHg2Os at its relaxed geometry at the PBE-GGA level of DFT.

Properties
Crystal system ... orthorhombic
Size of the total moment ... 0.152 μB per atom
ΔE_f ... 0.741 eV per atom

a b c (Å): 3.2616 4.2339 5.7862
angles (deg): 90.00 90.00 90.00
Space group Pmmm (No. 47)
Unique sites:
In1 0.0000 0.0000 0.0000
Hg1 0.5000 0.5000 0.2621
Os1 0.0000 0.0000 0.5000

=====

# 3
Computed, not measured: crystalline InHg2Os at its relaxed geometry at the PBE-GGA level of DFT.

Properties
Crystal system ... orthorhombic
Size of the total moment ... 0.000 μB per atom
ΔE_f ... 0.610 eV per atom

a b c (Å): 2.9179 5.1260 11.5621
angles (deg): 90.00 90.00 90.00
Space group Cmm2 (No. 35)
Unique sites:
In1 0.0000 0.0000 0.0000
Hg1 0.0000 0.0000 0.4294
Hg2 0.0000 0.5000 0.7097
Os1 0.0000 0.5000 0.2088

=====

# 4
Computed, not measured: crystalline InHgOsPb2 at its relaxed geometry at the PBE-GGA level of DFT.

Properties
Crystal system ... tetragonal
Size of the total moment ... 0.000 μB per atom
ΔE_f ... 0.305 eV per atom

a b c (Å): 5.2990 5.2990 5.2674
angles (deg): 90.00 90.00 90.00
Space group P4/mmm (No. 123)
Unique sites:
In1 0.0000 0.0000 0.0000
Hg1 0.5000 0.5000 0.0000
Os1 0.0000 0.0000 0.5000
Pb1 0.0000 0.5000 0.5000

=====

# 5
Computed, not measured: crystalline InRe2HgOs at its relaxed geometry at the PBE-GGA level of DFT.

Properties
Crystal system ... tetragonal
Size of the total moment ... 0.283 μB per atom
ΔE_f ... 1.680 eV per atom

a b c (Å): 4.7873 4.7873 5.0857
angles (deg): 90.00 90.00 90.00
Space group P4/mmm (No. 123)
Unique sites:
In1 0.0000 0.0000 0.0000
Re1 0.0000 0.5000 0.5000
Hg1 0.5000 0.5000 0.0000
Os1 0.0000 0.0000 0.5000

=====

# 6
Computed, not measured: crystalline InReHg2Os at its relaxed geometry at the PBE-GGA level of DFT.

Properties
Crystal system ... tetragonal
Size of the total moment ... 1.105 μB per atom
ΔE_f ... 2.392 eV per atom

a b c (Å): 5.1614 5.1614 5.1334
angles (deg): 90.00 90.00 90.00
Space group P4/mmm (No. 123)
Unique sites:
In1 0.0000 0.0000 0.0000
Re1 0.5000 0.5000 0.5000
Hg1 0.0000 0.5000 0.0000
Os1 0.0000 0.0000 0.5000

=====

# 7
Computed, not measured: crystalline InHgSbOs2 at its relaxed geometry at the PBE-GGA level of DFT.

Properties
Crystal system ... tetragonal
Size of the total moment ... 0.135 μB per atom
Formation energy from raw total energies ... 2.09 eV per atom

a b c (Å): 4.9762 4.9762 5.0416
angles (deg): 90.00 90.00 90.00
Space group P4/mmm (No. 123)
Unique sites:
In1 0.0000 0.0000 0.0000
Hg1 0.0000 0.0000 0.5000
Sb1 0.5000 0.5000 0.5000
Os1 0.0000 0.5000 0.0000

=====

# 8
Computed, not measured: crystalline In2SnHgOs at its relaxed geometry at the PBE-GGA level of DFT.

Properties
Crystal system ... tetragonal
Size of the total moment ... 0.000 μB per atom
ΔE_f ... 0.088 eV per atom

a b c (Å): 5.2648 5.2648 5.1029
angles (deg): 90.00 90.00 90.00
Space group P4/mmm (No. 123)
Unique sites:
In1 0.0000 0.5000 0.0000
Sn1 0.0000 0.0000 0.5000
Hg1 0.5000 0.5000 0.5000
Os1 0.0000 0.0000 0.0000

=====

# 9
Computed, not measured: crystalline Th2InHgOs at its relaxed geometry at the PBE-GGA level of DFT.

Properties
Crystal system ... monoclinic
Size of the total moment ... 0.000 μB per atom
ΔE_f ... -0.240 eV per atom

a b c (Å): 8.4489 4.1372 8.4848
angles (deg): 90.00 102.28 90.00
Space group P2_1/m (No. 11)
Unique sites:
Th1 0.1330 0.2500 0.3922
Th2 0.1904 0.2500 0.9752
In1 0.4778 0.7500 0.3391
Hg1 0.2779 0.7500 0.7006
Os1 0.1598 0.7500 0.1904

=====

# 10
Computed, not measured: crystalline YInHgOs2 at its relaxed geometry at the PBE-GGA level of DFT.

Properties
Crystal system ... tetragonal
Size of the total moment ... 0.292 μB per atom
ΔE_f ... 1.724 eV per atom

a b c (Å): 4.9111 4.9111 5.4086
angles (deg): 90.00 90.00 90.00
Space group P4/mmm (No. 123)
Unique sites:
Y1 0.0000 0.0000 0.0000
In1 0.0000 0.0000 0.5000
Hg1 0.5000 0.5000 0.0000
Os1 0.0000 0.5000 0.5000

=====

# 11
Computed, not measured: crystalline InHg2P at its relaxed geometry at the PBE-GGA level of DFT.

Properties
Energy above the most stable polymorph in this dataset ... 15 meV/atom
Crystal system ... monoclinic
Size of the total moment ... 0.000 μB per atom
ΔE_f ... 0.097 eV per atom

a b c (Å): 5.0868 4.1081 5.7796
angles (deg): 90.00 115.46 90.00
Space group Pm (No. 6)
Unique sites:
In1 0.0000 0.0000 0.0000
Hg1 0.3811 0.0000 0.7577
Hg2 0.7180 0.5000 0.4474
P1 0.1528 0.5000 0.3161

=====

# 12
Computed, not measured: crystalline InHgP2 at its relaxed geometry at the PBE-GGA level of DFT.

Properties
Energy above the most stable polymorph in this dataset ... 96 meV/atom
Crystal system ... monoclinic
Size of the total moment ... 0.000 μB per atom
ΔE_f ... 0.155 eV per atom

a b c (Å): 4.6509 3.8479 5.4045
angles (deg): 90.00 105.63 90.00
Space group P2/m (No. 10)
Unique sites:
In1 0.0000 0.0000 0.0000
Hg1 0.5000 0.0000 0.5000
P1 0.3249 0.5000 0.8224

=====

# 13
Computed, not measured: crystalline InHgP2 at its relaxed geometry at the PBE-GGA level of DFT.

Properties
Energy above the most stable polymorph in this dataset ... 85 meV/atom
Crystal system ... tetragonal
Size of the total moment ... 0.000 μB per atom
ΔE_f ... 0.144 eV per atom

a b c (Å): 5.9549 5.9549 11.7515
angles (deg): 90.00 90.00 90.00
Space group I-42d (No. 122)
Unique sites:
In1 0.0000 0.0000 0.0000
Hg1 0.0000 0.0000 0.5000
P1 0.2484 0.2500 0.6250

=====

# 14
Computed, not measured: crystalline In2Hg2P at its relaxed geometry at the PBE-GGA level of DFT.

Properties
Crystal system ... tetragonal
Size of the total moment ... 0.000 μB per atom
ΔE_f ... 0.157 eV per atom

a b c (Å): 7.0944 7.0944 5.2677
angles (deg): 90.00 90.00 90.00
Space group P4/mbm (No. 127)
Unique sites:
In1 0.1500 0.3500 0.0000
Hg1 0.1730 0.6730 0.5000
P1 0.0000 0.0000 0.0000

=====

# 15
Computed, not measured: crystalline InHgP2 at its relaxed geometry at the PBE-GGA level of DFT.

Properties
Energy above the most stable polymorph in this dataset ... 186 meV/atom
Crystal system ... orthorhombic
Size of the total moment ... 0.000 μB per atom
ΔE_f ... 0.245 eV per atom

a b c (Å): 3.1916 6.6044 10.1252
angles (deg): 90.00 90.00 90.00
Space group Cmm2 (No. 35)
Unique sites:
In1 0.0000 0.0000 0.0000
Hg1 0.0000 0.5000 0.2950
P1 0.0000 0.0000 0.5903
P2 0.0000 0.5000 0.7279

=====

# 16
Computed, not measured: crystalline InHgP2 at its relaxed geometry at the PBE-GGA level of DFT.

Properties
Energy above the most stable polymorph in this dataset ... 205 meV/atom
Crystal system ... trigonal
Size of the total moment ... 0.000 μB per atom
ΔE_f ... 0.264 eV per atom

a b c (Å): 3.9002 3.9002 19.0342
angles (deg): 90.00 90.00 120.00
Space group R-3m (No. 166, hexagonal axes)
Unique sites:
In1 0.0000 0.0000 0.0000
Hg1 0.0000 0.0000 0.5000
P1 0.0000 0.0000 0.2506

=====

# 17
Computed, not measured: crystalline InHg2P at its relaxed geometry at the PBE-GGA level of DFT.

Properties
Energy above the most stable polymorph in this dataset ... 259 meV/atom
Crystal system ... orthorhombic
Size of the total moment ... 0.000 μB per atom
ΔE_f ... 0.341 eV per atom

a b c (Å): 4.0438 5.5729 8.4176
angles (deg): 90.00 90.00 90.00
Space group Cmmm (No. 65)
Unique sites:
In1 0.0000 0.0000 0.0000
Hg1 0.0000 0.5000 0.2776
P1 0.0000 0.0000 0.5000

=====

# 18
Computed, not measured: crystalline InHg2P2 at its relaxed geometry at the PBE-GGA level of DFT.

Properties
Energy above the most stable polymorph in this dataset ... 266 meV/atom
Crystal system ... tetragonal
Size of the total moment ... 0.000 μB per atom
ΔE_f ... 0.517 eV per atom

a b c (Å): 8.2492 8.2492 3.2264
angles (deg): 90.00 90.00 90.00
Space group P4/mbm (No. 127)
Unique sites:
In1 0.0000 0.0000 0.0000
Hg1 0.1394 0.3606 0.0000
P1 0.1614 0.6614 0.5000

=====

# 19
Computed, not measured: crystalline InHg2P at its relaxed geometry at the PBE-GGA level of DFT.

Properties
Energy above the most stable polymorph in this dataset ... 76 meV/atom
Crystal system ... orthorhombic
Size of the total moment ... 0.000 μB per atom
ΔE_f ... 0.158 eV per atom

a b c (Å): 5.7080 8.3311 4.0874
angles (deg): 90.00 90.00 90.00
Space group Cmmm (No. 65)
Unique sites:
In1 0.0000 0.0000 0.0000
Hg1 0.0000 0.2826 0.5000
P1 0.0000 0.5000 0.0000

=====

# 20
Computed, not measured: crystalline InHgP2 at its relaxed geometry at the PBE-GGA level of DFT.

Properties
Energy above the most stable polymorph in this dataset ... 66 meV/atom
Crystal system ... monoclinic
Size of the total moment ... 0.000 μB per atom
ΔE_f ... 0.125 eV per atom

a b c (Å): 12.0967 3.2406 5.7255
angles (deg): 90.00 107.60 90.00
Space group C2/m (No. 12)
Unique sites:
In1 0.0000 0.0000 0.0000
Hg1 0.0000 0.5000 0.5000
P1 0.2476 0.5000 0.1236